Material: KY2V
Method: DFT, PBE
State: optimized geometry

```
KY2V
1.0
2.400 -4.329 -2.460
-2.311 -5.009 0.350
-2.330 -2.286 -4.460
Y K V
2 1 1
direct
0.250 0.250 0.250
0.750 0.750 0.750
0.000 0.000 0.000
0.500 0.500 0.500
```

Values from the calculation:
* E_form: 0.76 eV per atom
* magnetization: 1.1380 μB per atom
* offset from the most stable computed form: 0.000 eV per atom
* density of states at the Fermi level: 6.184 states/eV per cell

---

Material: KYV3
Method: DFT, PBE
State: optimized geometry

```
KYV3
1.0
-2.870 -2.696 3.387
4.080 -3.044 1.034
1.449 3.232 3.799
Y K V
1 1 3
direct
0.000 0.000 0.000
0.500 0.500 0.500
0.000 0.500 0.000
0.000 0.000 0.500
0.500 0.000 0.000
```

Values from the calculation:
* E_form: 1.96 eV per atom
* magnetization: 1.3983 μB per atom
* offset from the most stable computed form: 0.000 eV per atom
* density of states at the Fermi level: 10.664 states/eV per cell

---

Material: KV3Zn
Method: DFT, PBE
State: optimized geometry

```
KV3Zn
1.0
-3.073 3.388 -2.028
0.997 -1.820 -4.552
-3.820 -3.200 0.443
Zn K V
1 1 3
direct
0.000 0.000 0.000
0.500 0.500 0.500
0.000 0.500 0.000
0.000 0.000 0.500
0.500 0.000 0.000
```

Values from the calculation:
* E_form: 1.42 eV per atom
* magnetization: 2.1293 μB per atom
* offset from the most stable computed form: 0.000 eV per atom
* density of states at the Fermi level: 11.260 states/eV per cell

---

Material: KVZn
Method: DFT, PBE
State: optimized geometry

```
KVZn
1.0
4.839 -2.794 0.000
0.000 5.587 0.000
0.000 0.000 10.427
Zn K V
2 2 2
direct
0.000 0.000 0.250
0.000 0.000 0.750
0.333 0.667 0.250
0.667 0.333 0.750
0.000 0.000 0.000
0.000 0.000 0.500
```

Values from the calculation:
* E_form: 1.34 eV per atom
* magnetization: 1.5297 μB per atom
* offset from the most stable computed form: 1.018 eV per atom
* density of states at the Fermi level: 18.744 states/eV per cell

---

Material: KVZn
Method: DFT, PBE
State: optimized geometry

```
KVZn
1.0
-6.766 -7.267 -5.895
3.622 -1.247 -1.631
2.215 -2.886 2.023
Zn K V
2 2 2
direct
0.889 0.475 0.473
0.111 0.525 0.527
0.319 0.233 0.238
0.681 0.767 0.762
0.999 0.156 0.156
0.001 0.844 0.844
```

Values from the calculation:
* E_form: 0.35 eV per atom
* magnetization: 0.0001 μB per atom
* offset from the most stable computed form: 0.029 eV per atom
* density of states at the Fermi level: 4.690 states/eV per cell

---

Material: KVZn
Method: DFT, PBE
State: optimized geometry

```
KVZn
1.0
-2.244 1.500 -3.665
2.243 -3.957 -0.166
-8.659 -5.045 3.238
Zn K V
2 2 2
direct
0.333 0.667 0.250
0.667 0.333 0.750
0.000 0.000 0.000
0.000 0.000 0.500
0.333 0.667 0.750
0.667 0.333 0.250
```

Values from the calculation:
* E_form: 0.92 eV per atom
* magnetization: 1.3910 μB per atom
* offset from the most stable computed form: 0.597 eV per atom
* density of states at the Fermi level: 8.737 states/eV per cell

---

Material: KVZn
Method: DFT, PBE
State: optimized geometry

```
KVZn
1.0
-4.513 2.831 -1.227
-2.736 -2.301 2.479
-0.450 1.190 7.655
K Zn V
2 2 2
direct
0.635 0.858 0.597
0.157 0.230 0.726
0.502 0.327 0.109
0.286 0.761 0.214
0.989 0.356 0.160
0.799 0.733 0.162
```

Values from the calculation:
* E_form: 0.47 eV per atom
* magnetization: 0.0000 μB per atom
* offset from the most stable computed form: 0.154 eV per atom
* density of states at the Fermi level: 4.290 states/eV per cell

---

Material: K2V2Zn
Method: DFT, PBE
State: optimized geometry

```
K2V2Zn
1.0
3.352 0.000 0.000
0.000 3.352 0.000
1.676 1.676 12.014
Zn K V
1 2 2
direct
0.000 0.000 0.000
0.387 0.387 0.226
0.613 0.613 0.774
0.750 0.250 0.500
0.250 0.750 0.500
```

Values from the calculation:
* E_form: 0.73 eV per atom
* magnetization: 0.0000 μB per atom
* offset from the most stable computed form: 0.000 eV per atom
* density of states at the Fermi level: 5.410 states/eV per cell

---

Material: KVZn
Method: DFT, PBE
State: optimized geometry

```
KVZn
1.0
4.461 -0.092 -0.722
-2.752 12.359 0.313
1.333 0.023 2.692
K Zn V
2 2 2
direct
0.192 0.445 0.317
0.461 0.107 0.791
0.879 0.649 0.997
0.473 0.706 0.718
0.174 0.837 0.338
0.801 0.877 0.213
```

Values from the calculation:
* E_form: 0.45 eV per atom
* magnetization: 0.0001 μB per atom
* offset from the most stable computed form: 0.131 eV per atom
* density of states at the Fermi level: 4.579 states/eV per cell

---

Material: KVZn
Method: DFT, PBE
State: optimized geometry

```
KVZn
1.0
-12.922 0.120 -3.444
-0.868 0.902 -3.972
1.662 -3.712 0.895
Zn K V
2 2 2
direct
0.111 0.892 0.108
0.889 0.108 0.892
0.681 0.648 0.352
0.319 0.352 0.648
0.999 0.657 0.343
0.001 0.343 0.657
```

Values from the calculation:
* E_form: 0.35 eV per atom
* magnetization: 0.0000 μB per atom
* offset from the most stable computed form: 0.029 eV per atom
* density of states at the Fermi level: 4.714 states/eV per cell

---

Material: KVZn
Method: DFT, PBE
State: optimized geometry

```
KVZn
1.0
2.079 4.383 -1.866
-4.711 0.087 2.195
3.156 1.364 6.721
Zn K V
2 2 2
direct
0.333 0.667 0.330
0.333 0.667 0.670
0.667 0.333 0.000
0.667 0.333 0.500
0.000 0.000 0.379
0.000 0.000 0.621
```

Values from the calculation:
* E_form: 0.84 eV per atom
* magnetization: 0.0000 μB per atom
* offset from the most stable computed form: 0.517 eV per atom
* density of states at the Fermi level: 4.620 states/eV per cell

---

Material: KVZn
Method: DFT, PBE
State: optimized geometry

```
KVZn
1.0
12.109 0.230 -0.022
0.322 3.367 0.000
-0.013 0.001 4.032
Zn K V
2 2 2
direct
0.718 0.267 0.661
0.898 0.693 0.665
0.146 0.079 0.653
0.479 0.387 0.157
0.881 0.201 0.164
0.740 0.759 0.162
```

Values from the calculation:
* E_form: 0.35 eV per atom
* magnetization: 0.0000 μB per atom
* offset from the most stable computed form: 0.029 eV per atom
* density of states at the Fermi level: 4.070 states/eV per cell

---

Material: KVZn
Method: DFT, PBE
State: optimized geometry

```
KVZn
1.0
5.082 0.000 0.000
0.000 5.082 0.000
0.000 0.000 7.038
Zn K V
2 2 2
direct
0.000 0.000 0.500
0.500 0.500 0.500
0.000 0.500 0.885
0.500 0.000 0.115
0.000 0.500 0.430
0.500 0.000 0.570
```

Values from the calculation:
* E_form: 0.76 eV per atom
* magnetization: 1.1074 μB per atom
* offset from the most stable computed form: 0.439 eV per atom
* density of states at the Fermi level: 8.621 states/eV per cell

---

Material: KVZn
Method: DFT, PBE
State: optimized geometry

```
KVZn
1.0
-3.867 0.739 -2.300
3.632 -1.733 -2.144
-1.612 -4.817 1.163
Zn K V
1 1 1
direct
0.000 0.000 0.000
0.667 0.333 0.500
0.333 0.667 0.000
```

Values from the calculation:
* E_form: 0.91 eV per atom
* magnetization: 1.3844 μB per atom
* offset from the most stable computed form: 0.595 eV per atom
* density of states at the Fermi level: 4.181 states/eV per cell

---

Material: KVZn
Method: DFT, PBE
State: optimized geometry

```
KVZn
1.0
-3.672 7.830 2.830
0.537 -0.771 2.830
10.313 5.047 -0.582
Zn K V
4 4 4
direct
0.762 0.250 0.410
0.738 0.750 0.910
0.238 0.750 0.590
0.262 0.250 0.090
0.076 0.250 0.829
0.424 0.750 0.329
0.924 0.750 0.171
0.576 0.250 0.671
0.072 0.250 0.454
0.428 0.750 0.954
0.928 0.750 0.546
0.572 0.250 0.046
```

Values from the calculation:
* E_form: 0.58 eV per atom
* magnetization: 0.0000 μB per atom
* offset from the most stable computed form: 0.261 eV per atom
* density of states at the Fermi level: 7.456 states/eV per cell

---

Material: K3VZn
Method: DFT, PBE
State: optimized geometry

```
K3VZn
1.0
-4.927 -0.123 -4.004
3.997 -0.575 -4.901
-0.268 -6.323 0.523
Zn K V
1 3 1
direct
0.000 0.000 0.000
0.000 0.500 0.000
0.000 0.000 0.500
0.500 0.000 0.000
0.500 0.500 0.500
```

Values from the calculation:
* E_form: 0.94 eV per atom
* magnetization: 0.9084 μB per atom
* offset from the most stable computed form: 0.000 eV per atom
* density of states at the Fermi level: 10.142 states/eV per cell

---

Material: K2VZn
Method: DFT, PBE
State: optimized geometry

```
K2VZn
1.0
-9.187 4.915 -5.890
-7.609 -4.673 7.969
-8.187 2.258 2.495
Zn K V
2 4 2
direct
0.000 0.000 0.000
0.750 0.250 0.500
0.770 0.125 0.250
0.980 0.625 0.250
0.375 0.230 0.750
0.875 0.020 0.750
0.500 0.500 0.000
0.250 0.750 0.500
```

Values from the calculation:
* E_form: 0.85 eV per atom
* magnetization: 1.1102 μB per atom
* density of states at the Fermi level: 14.965 states/eV per cell

---

Material: K2V2Zn
Method: DFT, PBE
State: optimized geometry

```
K2V2Zn
1.0
-1.695 3.323 -9.719
-6.960 -7.615 -1.390
-2.255 1.872 1.033
Zn K V
2 4 4
direct
0.000 0.000 0.000
0.500 0.500 0.000
0.282 0.782 0.000
0.782 0.718 0.000
0.718 0.218 0.000
0.218 0.282 0.000
0.062 0.562 0.500
0.562 0.938 0.500
0.938 0.438 0.500
0.438 0.062 0.500
```

Values from the calculation:
* E_form: 1.07 eV per atom
* magnetization: 0.0000 μB per atom
* offset from the most stable computed form: 0.337 eV per atom
* density of states at the Fermi level: 8.966 states/eV per cell

---

Material: KVZn
Method: DFT, PBE
State: optimized geometry

```
KVZn
1.0
11.368 0.000 0.000
0.000 2.964 0.000
0.000 0.000 9.357
Zn K V
4 4 4
direct
0.920 0.250 0.762
0.580 0.750 0.262
0.080 0.750 0.238
0.420 0.250 0.738
0.829 0.250 0.416
0.671 0.750 0.916
0.171 0.750 0.584
0.329 0.250 0.084
0.451 0.250 0.432
0.049 0.750 0.932
0.549 0.750 0.568
0.951 0.250 0.068
```

Values from the calculation:
* E_form: 0.59 eV per atom
* magnetization: 0.0000 μB per atom
* offset from the most stable computed form: 0.272 eV per atom
* density of states at the Fermi level: 7.266 states/eV per cell

---

Material: K2VZn2
Method: DFT, PBE
State: optimized geometry

```
K2VZn2
1.0
9.894 0.000 0.000
0.000 9.894 0.000
0.000 0.000 3.128
Zn K V
4 4 2
direct
0.096 0.596 0.500
0.596 0.904 0.500
0.904 0.404 0.500
0.404 0.096 0.500
0.305 0.805 0.000
0.805 0.695 0.000
0.695 0.195 0.000
0.195 0.305 0.000
0.000 0.000 0.000
0.500 0.500 0.000
```

Values from the calculation:
* E_form: 0.81 eV per atom
* magnetization: 0.8726 μB per atom
* density of states at the Fermi level: 8.485 states/eV per cell

---

Material: KVZn
Method: DFT, PBE
State: optimized geometry

```
KVZn
1.0
11.697 0.247 0.024
0.648 4.119 0.045
-0.139 2.012 3.651
Zn K V
2 2 2
direct
0.699 0.217 0.731
0.921 0.066 0.818
0.129 0.262 0.236
0.491 0.697 0.989
0.810 0.798 0.431
0.810 0.485 0.118
```

Values from the calculation:
* E_form: 0.35 eV per atom
* magnetization: 0.0035 μB per atom
* offset from the most stable computed form: 0.029 eV per atom
* density of states at the Fermi level: 4.715 states/eV per cell

---

Material: KVZn
Method: DFT, PBE
State: optimized geometry

```
KVZn
1.0
3.297 -0.030 -0.018
0.032 3.301 0.023
0.323 -0.445 13.232
K Zn V
2 2 2
direct
0.191 0.609 0.505
0.609 0.169 0.817
0.102 0.684 0.012
0.698 0.095 0.310
0.599 0.189 0.110
0.201 0.589 0.213
```

Values from the calculation:
* E_form: 0.32 eV per atom
* magnetization: 0.0000 μB per atom
* offset from the most stable computed form: 0.000 eV per atom
* density of states at the Fermi level: 4.644 states/eV per cell

---

Material: KVZn
Method: DFT, PBE
State: optimized geometry

```
KVZn
1.0
-0.501 -0.728 -3.910
2.880 -1.798 -0.035
-5.872 -9.615 4.558
K Zn V
2 2 2
direct
0.063 0.301 0.494
0.732 0.798 0.829
0.355 0.803 0.069
0.447 0.299 0.254
0.866 0.302 0.092
0.936 0.800 0.231
```

Values from the calculation:
* E_form: 0.34 eV per atom
* magnetization: 0.0000 μB per atom
* offset from the most stable computed form: 0.025 eV per atom
* density of states at the Fermi level: 2.514 states/eV per cell

---

Material: KVZn
Method: DFT, PBE
State: optimized geometry

```
KVZn
1.0
-1.907 -0.466 -4.958
-1.225 -3.657 3.682
-4.759 3.141 1.535
Zn K V
2 2 2
direct
0.333 0.667 0.750
0.667 0.333 0.250
0.000 0.000 0.000
0.000 0.000 0.500
0.333 0.667 0.250
0.667 0.333 0.750
```

Values from the calculation:
* E_form: 0.96 eV per atom
* magnetization: 1.2980 μB per atom
* offset from the most stable computed form: 0.641 eV per atom
* density of states at the Fermi level: 10.104 states/eV per cell

---

Material: KVZn
Method: DFT, PBE
State: optimized geometry

```
KVZn
1.0
12.730 0.000 0.000
0.000 4.683 0.000
0.000 0.000 4.950
Zn K V
4 4 4
direct
0.000 0.000 0.000
0.500 0.500 0.500
0.500 0.000 0.500
0.000 0.500 0.000
0.750 0.250 0.751
0.750 0.750 0.251
0.250 0.750 0.249
0.250 0.250 0.749
0.500 0.250 0.003
0.000 0.750 0.503
0.500 0.750 0.997
0.000 0.250 0.497
```

Values from the calculation:
* E_form: 0.56 eV per atom
* magnetization: 0.1998 μB per atom
* offset from the most stable computed form: 0.243 eV per atom
* density of states at the Fermi level: 10.987 states/eV per cell

---

Material: KVZn
Method: DFT, PBE
State: optimized geometry

```
KVZn
1.0
0.000 3.562 3.562
3.562 0.000 3.562
3.562 3.562 0.000
Zn K V
1 1 1
direct
0.000 0.000 0.000
0.250 0.250 0.250
0.750 0.750 0.750
```

Values from the calculation:
* E_form: 1.11 eV per atom
* magnetization: 1.3879 μB per atom
* offset from the most stable computed form: 0.794 eV per atom
* density of states at the Fermi level: 5.426 states/eV per cell